No. 1
! PrHoInAu GGA-PBE relaxed; values from VASP
&SYSTEM
  ibrav = 0, nat = 4, ntyp = 4
/
ATOMIC_SPECIES
Pr 140.91 Pr.upf
Ho 164.93 Ho.upf
In 114.82 In.upf
Au 196.97 Au.upf
ATOMIC_POSITIONS crystal
Pr 0.000 0.000 0.000
Ho 0.500 0.500 0.500
In 0.750 0.750 0.750
Au 0.250 0.250 0.250
CELL_PARAMETERS angstrom
0.000 3.764 3.764
3.764 0.000 3.764
3.764 3.764 0.000
! Energy of formation, eV/atom: -0.569
! E_tot, Ry/atom: -0.3243
! Space-group type: No. 216
! V, Å³/f.u.: 106.66
! Spin magnetization, μB per cell: 0.11

***

No. 2
! ZnCrCd2C GGA-PBE relaxed; values from VASP
&SYSTEM
  ibrav = 0, nat = 5, ntyp = 4
/
ATOMIC_SPECIES
Zn 65.41 Zn.upf
Cr 52.00 Cr.upf
Cd 112.41 Cd.upf
C 12.01 C.upf
ATOMIC_POSITIONS crystal
Zn 0.000 0.000 0.000
Cr 0.500 0.500 0.000
Cd 0.000 0.500 0.500
Cd 0.500 0.000 0.500
C 0.000 0.000 0.500
CELL_PARAMETERS angstrom
4.892 0.000 0.000
0.000 4.892 0.000
0.000 0.000 3.829
! Energy of formation, eV/atom: 0.943
! E_tot, Ry/atom: -0.2534
! Space-group type: No. 123
! V, Å³/f.u.: 91.62
! Spin magnetization, μB per cell: 4.31

***

No. 3
! TbTh2PaSb5 GGA-PBE relaxed; values from VASP
&SYSTEM
  ibrav = 0, nat = 9, ntyp = 4
/
ATOMIC_SPECIES
Tb 158.93 Tb.upf
Th 232.04 Th.upf
Pa 231.04 Pa.upf
Sb 121.76 Sb.upf
ATOMIC_POSITIONS crystal
Tb 0.000 0.000 0.000
Th 0.500 0.500 0.176
Th 0.500 0.500 0.824
Pa 0.000 0.000 0.500
Sb 0.000 0.000 0.252
Sb 0.000 0.000 0.748
Sb 0.000 0.500 0.000
Sb 0.500 0.000 0.000
Sb 0.500 0.500 0.500
CELL_PARAMETERS angstrom
5.310 0.000 0.000
0.000 5.310 0.000
0.000 0.000 11.574
! E_tot, Ry/atom: -0.4048
! Space-group type: No. 123
! V, Å³/f.u.: 326.28
! Spin magnetization, μB per cell: 1.06

***

No. 4
! Ho3Co3Si8 GGA-PBE relaxed; values from VASP
&SYSTEM
  ibrav = 0, nat = 14, ntyp = 3
/
ATOMIC_SPECIES
Ho 164.93 Ho.upf
Co 58.93 Co.upf
Si 28.09 Si.upf
ATOMIC_POSITIONS crystal
Ho 0.000 0.000 0.000
Ho 0.317 0.317 0.000
Ho 0.683 0.683 0.000
Co 0.274 0.500 0.774
Co 0.500 0.000 0.500
Co 0.726 0.500 0.226
Si 0.030 0.664 0.366
Si 0.176 0.884 0.293
Si 0.298 0.664 0.634
Si 0.409 0.116 0.293
Si 0.591 0.884 0.707
Si 0.702 0.336 0.366
Si 0.824 0.116 0.707
Si 0.970 0.336 0.634
CELL_PARAMETERS angstrom
-2.015 4.715 5.633
2.015 -4.715 5.633
2.015 4.715 -5.633
! E_tot, Ry/atom: -0.4505
! Space-group type: No. 71
! V, Å³/f.u.: 214.14
! Spin magnetization, μB per cell: 0.92